Compound: RbNaCaBr4
Source: Alexandria
Functional: GGA-PBE
Structure: optimized geometry

Values from the calculation:
energy relative to the elements, uncorrected: -1793 meV per atom
final energy: -0.12355 Ha/atom
total moment: 0.000 μB per formula unit
calculated density: 2806 kg/m3

abc: 9.3828 9.3828 9.3828
angles: 123.76 122.44 84.72
Last column: nearest neighbours and their distance in Å.
Atoms (fractional coordinates):
Rb 0.3627 0.1127 0.2500  4 Br 3.25-3.29
Rb 0.6373 0.8873 0.7500  4 Br 3.25-3.29
Na 0.0000 0.5000 0.5000  6 Br 3.04-3.31
Na 0.5000 0.5000 0.0000  6 Br 3.04-3.31
Ca 0.0000 0.0000 0.5000  6 Br 2.92-2.96
Ca 0.0000 0.5000 0.0000  6 Br 2.92-2.96
Br 0.2047 0.7380 0.4666  2 Ca 2.96, 1 Rb 3.29
Br 0.2100 0.2389 0.5290  1 Ca 2.92, 2 Na 3.04, 1 Rb 3.25
Br 0.2100 0.6810 0.9710  1 Ca 2.92, 2 Na 3.04, 1 Rb 3.25
Br 0.2286 0.2620 0.9666  2 Ca 2.96, 1 Rb 3.29
Br 0.7714 0.7380 0.0334  2 Ca 2.96, 1 Rb 3.29
Br 0.7900 0.3190 0.0290  1 Ca 2.92, 2 Na 3.04, 1 Rb 3.25
Br 0.7900 0.7611 0.4710  1 Ca 2.92, 2 Na 3.04, 1 Rb 3.25
Br 0.7953 0.2620 0.5334  2 Ca 2.96, 1 Rb 3.29

Compound: SrIrPb2
Source: Alexandria
Functional: GGA-PBE
Structure: optimized geometry

Values from the calculation:
DFT formation energy: 0.273 eV per atom
final energy: -0.15496 Ha/atom
total moment: 0.000 μB per formula unit
calculated density: 10838 kg/m3

abc: 6.3910 6.3910 3.4775
angles: 104.87 104.87 119.50
Last column: nearest neighbours and their distance in Å.
Atoms (fractional coordinates):
Sr 0.0000 0.0000 0.0000  4 Ir 3.22-3.32, 4 Pb 3.22, 2 Sr 3.48
Ir 0.5000 0.5000 0.0000  4 Sr 3.22-3.32, 4 Pb 3.22, 2 Ir 3.48
Pb 0.0000 0.5000 0.5000  6 Pb 3.22-3.48, 2 Ir 3.22, 2 Sr 3.22
Pb 0.5000 0.0000 0.5000  6 Pb 3.22-3.48, 2 Ir 3.22, 2 Sr 3.22

Compound: YGeAuCl2
Source: Alexandria
Functional: GGA-PBE
Structure: optimized geometry

Values from the calculation:
energy relative to the elements, uncorrected: -552 meV per atom
final energy: -0.15297 Ha/atom
total moment: 0.000 μB per formula unit
calculated density: 4424 kg/m3

abc: 5.0595 5.0595 6.2968
angles: 90.00 90.00 90.00
Last column: nearest neighbours and their distance in Å.
Atoms (fractional coordinates):
Y 0.0000 0.0000 0.0000  4 Cl 2.53
Ge 0.0000 0.0000 0.5000  2 Y 3.15
Au 0.5000 0.5000 0.5000  4 Ge 3.58
Cl 0.0000 0.5000 0.0000  2 Y 2.53
Cl 0.5000 0.0000 0.0000  2 Y 2.53

Compound: KNaTa2O6
Source: Alexandria
Functional: GGA-PBE
Structure: optimized geometry

Values from the calculation:
energy relative to the elements, uncorrected: -2526 meV per atom
final energy: -0.29815 Ha/atom
total moment: 0.122 μB per formula unit
calculated density: 4624 kg/m3

abc: 7.8146 7.8146 6.7254
angles: 105.26 105.26 97.44
Last column: nearest neighbours and their distance in Å.
Atoms (fractional coordinates):
K 0.1072 0.8928 0.7500  6 O 2.74-2.80
K 0.8928 0.1072 0.2500  6 O 2.74-2.80
Na 0.1984 0.8016 0.2500  4 O 2.33-2.34
Na 0.8016 0.1984 0.7500  4 O 2.33-2.34
Ta 0.2764 0.4213 0.8130  4 O 1.80-1.99
Ta 0.4213 0.2764 0.3130  4 O 1.80-1.99
Ta 0.5787 0.7236 0.6870  4 O 1.80-1.99
Ta 0.7236 0.5787 0.1870  4 O 1.80-1.99
O 0.0854 0.2289 0.6933  1 Ta 1.81
O 0.1809 0.6128 0.9103  1 Ta 1.80
O 0.2289 0.0854 0.1933  1 Ta 1.81
O 0.3601 0.4269 0.5586  2 Ta 1.97-1.99
O 0.3872 0.8191 0.5897  1 Ta 1.80
O 0.4269 0.3601 0.0586  2 Ta 1.97-1.99
O 0.5731 0.6399 0.9414  2 Ta 1.97-1.99
O 0.6128 0.1809 0.4103  1 Ta 1.80
O 0.6399 0.5731 0.4414  2 Ta 1.97-1.99
O 0.7711 0.9146 0.8067  1 Ta 1.81
O 0.8191 0.3872 0.0897  1 Ta 1.80
O 0.9146 0.7711 0.3067  1 Ta 1.81

Compound: Cs2TlBr6F
Source: Alexandria
Functional: GGA-PBE
Structure: optimized geometry

Values from the calculation:
energy relative to the elements, uncorrected: -902 meV per atom
final energy: -0.09190 Ha/atom
total moment: 0.000 μB per formula unit
calculated density: 4567 kg/m3

abc: 8.2073 8.2073 8.2073
angles: 125.64 125.64 80.48
Last column: nearest neighbours and their distance in Å.
Atoms (fractional coordinates):
Cs 0.2500 0.7500 0.5000  12 Br 3.76-4.10
Cs 0.7500 0.2500 0.5000  12 Br 3.76-4.10
Tl 0.0000 0.0000 0.0000  6 Br 2.75-2.82
Br 0.2251 0.2251 0.0000  1 Tl 2.82
Br 0.2591 0.2591 0.5182  1 F 2.55, 1 Tl 2.75
Br 0.2591 0.7409 0.0000  1 F 2.55, 1 Tl 2.75
Br 0.7409 0.2591 0.0000  1 F 2.55, 1 Tl 2.75
Br 0.7409 0.7409 0.4818  1 F 2.55, 1 Tl 2.75
Br 0.7749 0.7749 0.0000  1 Tl 2.82
F 0.5000 0.5000 0.0000  4 Br 2.55

Compound: Zr2TaTl
Source: Alexandria
Functional: GGA-PBE
Structure: optimized geometry

Values from the calculation:
relative energy among the computed polymorphs: 0.104 eV/atom
DFT formation energy: 0.100 eV per atom
final energy: -0.28401 Ha/atom
total moment: 0.000 μB per formula unit
calculated density: 10846 kg/m3

abc: 3.1605 5.1139 5.3931
angles: 90.00 94.23 90.00
Last column: nearest neighbours and their distance in Å.
Atoms (fractional coordinates):
Zr 0.0000 0.0000 0.0000  3 Tl 3.01-3.05, 4 Ta 3.03-3.15, 4 Zr 3.16-3.27
Zr 0.1218 0.5000 0.6327  3 Ta 2.92-3.13, 4 Tl 3.05-3.17, 4 Zr 3.16-3.27
Ta 0.5522 0.5000 0.1317  7 Zr 2.92-3.15, 2 Ta 3.16, 2 Tl 3.18
Tl 0.5644 0.0000 0.4837  7 Zr 3.01-3.17, 2 Tl 3.16, 2 Ta 3.18

Compound: TbTh3C8
Source: Alexandria
Functional: GGA-PBE
Structure: optimized geometry

Values from the calculation:
DFT formation energy: 0.081 eV per atom
final energy: -0.30535 Ha/atom
total moment: 0.000 μB per formula unit
calculated density: 8202 kg/m3

abc: 6.5478 6.1715 6.8490
angles: 60.11 54.81 65.08
Last column: nearest neighbours and their distance in Å.
Atoms (fractional coordinates):
Tb 0.0000 0.0000 0.0000  8 C 2.49-2.55
Th 0.3074 0.3074 0.1926  6 C 2.54-2.71
Th 0.5071 0.5071 0.4929  6 C 2.50-2.79
Th 0.8074 0.8074 0.6926  6 C 2.54-2.71
C 0.0610 0.3923 0.6077  1 C 1.34
C 0.1305 0.6208 0.8695  1 C 1.33
C 0.3219 0.8545 0.1455  1 C 1.34
C 0.3923 0.0610 0.9390  1 C 1.34
C 0.5900 0.9137 0.4100  1 C 1.33
C 0.6208 0.1305 0.3792  1 C 1.33
C 0.8545 0.3219 0.6781  1 C 1.34
C 0.9137 0.5900 0.0863  1 C 1.33

Compound: SrLa
Source: Alexandria
Functional: GGA-PBE
Structure: optimized geometry

Values from the calculation:
relative energy among the computed polymorphs: 0.129 eV/atom
DFT formation energy: 0.190 eV per atom
final energy: -0.11446 Ha/atom
total moment: 0.001 μB per formula unit
calculated density: 4059 kg/m3

abc: 12.5019 12.5019 4.1074
angles: 90.00 90.00 120.00
Last column: nearest neighbours and their distance in Å.
Atoms (fractional coordinates):
Sr 0.1311 0.3160 0.2500  5 La 3.84-4.19, 6 Sr 4.00-4.11
Sr 0.1849 0.8689 0.2500  5 La 3.84-4.19, 6 Sr 4.00-4.11
Sr 0.3160 0.1849 0.7500  5 La 3.84-4.19, 6 Sr 4.00-4.11
Sr 0.6840 0.8151 0.2500  5 La 3.84-4.19, 6 Sr 4.00-4.11
Sr 0.8151 0.1311 0.7500  5 La 3.84-4.19, 6 Sr 4.00-4.11
Sr 0.8689 0.6840 0.7500  5 La 3.84-4.19, 6 Sr 4.00-4.11
La 0.1389 0.5790 0.7500  4 La 3.65, 4 Sr 3.84-3.95
La 0.4210 0.5600 0.7500  4 La 3.65, 4 Sr 3.84-3.95
La 0.4400 0.8611 0.7500  4 La 3.65, 4 Sr 3.84-3.95
La 0.5600 0.1389 0.2500  4 La 3.65, 4 Sr 3.84-3.95
La 0.5790 0.4400 0.2500  4 La 3.65, 4 Sr 3.84-3.95
La 0.8611 0.4210 0.2500  4 La 3.65, 4 Sr 3.84-3.95

Compound: AuC2F
Source: Alexandria
Functional: GGA-PBE
Structure: optimized geometry

Values from the calculation:
relative energy among the computed polymorphs: 0.000 eV/atom
energy relative to the elements, uncorrected: 1995 meV per atom
final energy: -0.14348 Ha/atom
total moment: 0.000 μB per formula unit
calculated density: 6844 kg/m3

abc: 6.3085 6.3085 6.3085
angles: 136.74 136.74 62.84
Last column: nearest neighbours and their distance in Å.
Atoms (fractional coordinates):
Au 0.0000 0.0000 0.0000  4 C 2.03
Au 0.7500 0.2500 0.5000  4 C 2.03
C 0.0864 0.6250 0.9614  2 Au 2.03, 2 F 2.23
C 0.3750 0.3364 0.4614  2 Au 2.03, 2 F 2.23
C 0.6636 0.1250 0.0386  2 Au 2.03, 2 F 2.23
C 0.8750 0.9136 0.5386  2 Au 2.03, 2 F 2.23
F 0.2500 0.7500 0.5000  4 C 2.23
F 0.5000 0.5000 0.0000  4 C 2.23

Compound: AcIn3Pd
Source: Alexandria
Functional: GGA-PBE
Structure: optimized geometry

Values from the calculation:
relative energy among the computed polymorphs: 0.000 eV/atom
DFT formation energy: -0.551 eV per atom
final energy: -0.14900 Ha/atom
total moment: 0.000 μB per formula unit
calculated density: 8544 kg/m3

abc: 6.7390 6.7390 6.7390
angles: 138.74 138.74 59.77
Last column: nearest neighbours and their distance in Å.
Atoms (fractional coordinates):
Ac 0.0000 0.0000 0.0000  12 In 3.53-3.80, 4 Pd 3.70
In 0.2541 0.7541 0.5000  2 Pd 2.72, 2 In 3.03
In 0.5935 0.5935 0.0000  1 Pd 2.64
In 0.7541 0.2541 0.5000  2 Pd 2.72, 2 In 3.03
Pd 0.3678 0.3678 0.0000  5 In 2.64-2.72

Compound: K2BaSi2O6
Source: Alexandria
Functional: GGA-PBE
Structure: optimized geometry

Values from the calculation:
energy relative to the elements, uncorrected: -2362 meV per atom
final energy: -0.23617 Ha/atom
total moment: 0.000 μB per formula unit
calculated density: 2763 kg/m3

abc: 6.1063 6.1063 7.6680
angles: 113.04 113.04 60.05
Last column: nearest neighbours and their distance in Å.
Atoms (fractional coordinates):
K 0.1921 0.1921 0.0782  3 O 2.86-2.87
K 0.8079 0.8079 0.9218  3 O 2.86-2.87
Ba 0.0000 0.0000 0.5000  6 O 2.67
Si 0.4227 0.4227 0.7697  3 O 1.59
Si 0.5773 0.5773 0.2303  3 O 1.59
O 0.2718 0.2718 0.7676  1 Si 1.59
O 0.2727 0.7228 0.7696  1 Si 1.59
O 0.2772 0.7273 0.2304  1 Si 1.59
O 0.7228 0.2727 0.7696  1 Si 1.59
O 0.7273 0.2772 0.2304  1 Si 1.59
O 0.7282 0.7282 0.2324  1 Si 1.59